Computed, not measured: an optimized crystal structure of In10AgHg4 at the PBE level of DFT.

**SG**: I4/mmm
**Density of states at the Fermi level**: 0.3105 states/eV/atom
**Energy**: -2.071 eV/atom
**Size of the total moment**: 0.000 μB/atom

Cell and atoms, written as POSCAR:
```
In10AgHg4
1.0
-2.435 2.435 17.804
2.435 -2.435 17.804
2.435 2.435 -17.804
In Ag Hg
10 1 4
Cartesian
2.435 0.000 1.639
2.435 0.000 5.261
2.435 0.000 8.902
2.435 0.000 12.543
2.435 0.000 16.165
0.000 2.435 1.639
0.000 2.435 5.261
0.000 2.435 8.902
0.000 2.435 12.543
0.000 2.435 16.165
0.000 0.000 0.000
0.000 0.000 7.085
0.000 0.000 14.354
0.000 0.000 21.255
0.000 0.000 28.524
```